Record 1
LiCrCuPt | GGA-PBE | relaxed

```
data_LiCrCuPt
_chemical_formula_sum 'Li1 Cr1 Cu1 Pt1'
_space_group_name_H-M_alt 'P 1'
_space_group_IT_number 1
_cell_length_a 4.2682
_cell_length_b 4.2682
_cell_length_c 4.2682
_cell_angle_alpha 60.00
_cell_angle_beta 60.00
_cell_angle_gamma 60.00
loop_
_space_group_symop_operation_xyz
'x,y,z'
loop_
_atom_site_label
_atom_site_type_symbol
_atom_site_fract_x
_atom_site_fract_y
_atom_site_fract_z
Cu1 Cu 0.7500 0.7500 0.7500
Cr1 Cr 0.5000 0.5000 0.5000
Pt1 Pt 0.2500 0.2500 0.2500
Li1 Li 0.0000 0.0000 0.0000
```

## Properties
The calculated formation energy is -8.7 kJ/mol of atoms.

---

Record 2
LiCrCuSe3 | GGA-PBE | relaxed

```
data_LiCrCuSe3
_chemical_formula_sum 'Li2 Cr2 Cu2 Se6'
_space_group_name_H-M_alt 'P 1'
_space_group_IT_number 1
_cell_length_a 3.6367
_cell_length_b 7.3369
_cell_length_c 8.8159
_cell_angle_alpha 105.45
_cell_angle_beta 90.00
_cell_angle_gamma 90.00
loop_
_space_group_symop_operation_xyz
'x,y,z'
loop_
_atom_site_label
_atom_site_type_symbol
_atom_site_fract_x
_atom_site_fract_y
_atom_site_fract_z
Cr1 Cr 0.2500 0.6797 0.1648
Cr2 Cr 0.7500 0.3203 0.8352
Se1 Se 0.2500 0.0939 0.8685
Se2 Se 0.7500 0.2698 0.5367
Se3 Se 0.2500 0.7302 0.4633
Se4 Se 0.7500 0.9061 0.1315
Se5 Se 0.2500 0.5693 0.8623
Se6 Se 0.7500 0.4307 0.1377
Cu1 Cu 0.2500 0.0810 0.5989
Cu2 Cu 0.7500 0.9190 0.4011
Li1 Li 0.7500 0.7908 0.7324
Li2 Li 0.2500 0.2092 0.2676
```

## Properties
The value obtained for the uncorrected formation energy is -0.56 eV/atom.